# 1
{
  "formula": "Cr5GaS8",
  "functional": "GGA-PBE",
  "state": "optimized geometry",
  "m_tot_mub_per_cell": 5.00,
  "spacegroup": "F-43m, No. 216",
  "formation_energy_uncorrected_mev_per_atom": -455,
  "lattice": [[6.9056, 0.0000, 0.0000], [3.4528, 5.9805, 0.0000], [3.4528, 1.9935, 5.6384]],
  "species": ["Cr", "Cr", "Cr", "Cr", "Cr", "S", "S", "S", "S", "S", "S", "S", "S", "Ga"],
  "fractional_positions": [[0.6089, 0.6089, 0.1734], [0.0000, 0.0000, 0.0000], [0.6089, 0.6089, 0.6089], [0.1734, 0.6089, 0.6089], [0.6089, 0.1734, 0.6089], [0.8618, 0.8618, 0.4147], [0.3812, 0.3812, 0.8564], [0.3812, 0.3812, 0.3812], [0.4147, 0.8618, 0.8618], [0.8618, 0.4147, 0.8618], [0.3812, 0.8564, 0.3812], [0.8564, 0.3812, 0.3812], [0.8618, 0.8618, 0.8618], [0.2500, 0.2500, 0.2500]]
}



# 2
{
  "formula": "Cr3GaS",
  "functional": "GGA-PBE",
  "state": "optimized geometry",
  "m_tot_mub_per_cell": 0.00,
  "spacegroup": "Pm-3m, No. 221",
  "formation_energy_uncorrected_mev_per_atom": 310,
  "lattice": [[4.1397, 0.0000, 0.0000], [0.0000, 4.1397, 0.0000], [0.0000, 0.0000, 4.1397]],
  "species": ["Ga", "Cr", "Cr", "Cr", "S"],
  "fractional_positions": [[0.5000, 0.5000, 0.5000], [0.0000, 0.0000, 0.5000], [0.0000, 0.5000, 0.0000], [0.5000, 0.0000, 0.0000], [0.0000, 0.0000, 0.0000]]
}



# 3
{
  "formula": "Cr3GaS",
  "functional": "GGA-PBE",
  "state": "optimized geometry",
  "m_tot_mub_per_cell": 11.25,
  "spacegroup": "Pm-3m, No. 221",
  "formation_energy_uncorrected_mev_per_atom": 1097,
  "lattice": [[-3.2677, -2.6811, -2.0875], [3.1410, -1.2785, -3.2747], [1.2963, -3.6607, 2.6726]],
  "species": ["Ga", "S", "Cr", "Cr", "Cr"],
  "fractional_positions": [[0.0000, 0.0000, 0.0000], [0.5000, 0.5000, 0.5000], [0.0000, 0.5000, 0.0000], [0.0000, 0.0000, 0.5000], [0.5000, 0.0000, 0.0000]]
}



# 4
{
  "formula": "Tl2CrGaS4",
  "functional": "GGA-PBE",
  "state": "optimized geometry",
  "m_tot_mub_per_cell": 6.01,
  "spacegroup": "Fddd, No. 70",
  "formation_energy_uncorrected_mev_per_atom": -469,
  "lattice": [[6.0749, 0.0000, 0.0000], [3.0375, 6.4375, 0.0000], [3.0375, 0.0000, 11.1782]],
  "species": ["S", "S", "S", "S", "S", "S", "S", "S", "Tl", "Tl", "Tl", "Tl", "Cr", "Cr", "Ga", "Ga"],
  "fractional_positions": [[0.6014, 0.1960, 0.1037], [0.1486, 0.3040, 0.3963], [0.4550, 0.6960, 0.3963], [0.9010, 0.8040, 0.8963], [0.8490, 0.6960, 0.6037], [0.2026, 0.1960, 0.8963], [0.5474, 0.3040, 0.6037], [0.2950, 0.8040, 0.1037], [0.9339, 0.5000, 0.1322], [0.8161, 0.0000, 0.3678], [0.5661, 0.5000, 0.8678], [0.1839, 0.0000, 0.6322], [0.0000, 0.0000, 0.0000], [0.7500, 0.5000, 0.5000], [0.5000, 0.0000, 0.0000], [0.2500, 0.5000, 0.5000]]
}



# 5
{
  "formula": "Tl2Cr2GaS6",
  "functional": "GGA-PBE",
  "state": "optimized geometry",
  "m_tot_mub_per_cell": 5.18,
  "spacegroup": "C2/m, No. 12",
  "formation_energy_uncorrected_mev_per_atom": -551,
  "lattice": [[-0.8426, 4.4385, -4.2589], [3.5504, -4.9361, -1.2565], [-6.7009, -3.3739, -0.7300]],
  "species": ["S", "S", "S", "S", "S", "S", "Tl", "Tl", "Ga", "Cr", "Cr"],
  "fractional_positions": [[0.2825, 0.2825, 0.3273], [0.9405, 0.5962, 0.3207], [0.0595, 0.4038, 0.6793], [0.7175, 0.7175, 0.6727], [0.5962, 0.9405, 0.3207], [0.4038, 0.0595, 0.6793], [0.8371, 0.1629, 0.0000], [0.1629, 0.8371, 0.0000], [0.0000, 0.0000, 0.5000], [0.3292, 0.6708, 0.5000], [0.6708, 0.3292, 0.5000]]
}



# 6
{
  "formula": "UCr4GaS8",
  "functional": "GGA-PBE",
  "state": "optimized geometry",
  "m_tot_mub_per_cell": 5.05,
  "spacegroup": "R3m, No. 160",
  "formation_energy_uncorrected_mev_per_atom": -624,
  "lattice": [[6.9684, 0.0000, 0.0000], [3.4842, 6.0348, 0.0000], [3.4842, 2.0116, 5.9220]],
  "species": ["Ga", "S", "S", "S", "S", "S", "S", "S", "S", "U", "Cr", "Cr", "Cr", "Cr"],
  "fractional_positions": [[0.3860, 0.3860, 0.8420], [0.2466, 0.2466, 0.7282], [0.2523, 0.2523, 0.2432], [0.7787, 0.2466, 0.7282], [0.7282, 0.2360, 0.3075], [0.2466, 0.7787, 0.7282], [0.7282, 0.7282, 0.3075], [0.7687, 0.7687, 0.6940], [0.2360, 0.7282, 0.3075], [0.9879, 0.9879, 0.0364], [0.6345, 0.6345, 0.0964], [0.0258, 0.0258, 0.4937], [0.4548, 0.0258, 0.4937], [0.0258, 0.4548, 0.4937]]
}